# BaP2Au7 (GGA-PBE, optimized geometry)
# E_tot   -3.709 eV/atom
# V   241.9 Å³ per cell
data_BaP2Au7
_chemical_formula_sum 'Ba1 P2 Au7'
_symmetry_space_group_name_H-M 'P 1'
_symmetry_Int_Tables_number 1
_cell_length_a 4.5000
_cell_length_b 7.3873
_cell_length_c 8.1676
_cell_angle_alpha 117.00
_cell_angle_beta 90.00
_cell_angle_gamma 90.00
loop_
_symmetry_equiv_pos_as_xyz
'x,y,z'
loop_
_atom_site_label
_atom_site_fract_x
_atom_site_fract_y
_atom_site_fract_z
Ba1 0.0000 0.0000 0.0000
P1 0.5000 0.3141 0.6281
P2 0.5000 0.6859 0.3719
Au1 0.0000 0.3812 0.7634
Au2 0.0000 0.6188 0.2366
Au3 0.5000 0.3320 0.3041
Au4 0.5000 0.6680 0.6959
Au5 0.5000 0.0280 0.6959
Au6 0.5000 0.9720 0.3041
Au7 0.5000 0.5000 0.0000

=====

# Ba7PAu4 (GGA-PBE, optimized geometry)
# E_tot   -3.337 eV/atom
# V   495.1 Å³ per cell
data_Ba7PAu4
_chemical_formula_sum 'Ba7 P1 Au4'
_symmetry_space_group_name_H-M 'P 1'
_symmetry_Int_Tables_number 1
_cell_length_a 4.6236
_cell_length_b 8.1669
_cell_length_c 14.2041
_cell_angle_alpha 105.10
_cell_angle_beta 90.00
_cell_angle_gamma 106.44
loop_
_symmetry_equiv_pos_as_xyz
'x,y,z'
loop_
_atom_site_label
_atom_site_fract_x
_atom_site_fract_y
_atom_site_fract_z
Ba1 0.7424 0.4847 0.3616
Ba2 0.2695 0.5390 0.6424
Ba3 0.3447 0.6894 0.9567
Ba4 0.6548 0.3095 0.0496
Ba5 0.0353 0.0706 0.7743
Ba6 0.9638 0.9276 0.2130
Ba7 0.4861 0.9723 0.4940
P1 0.8837 0.7675 0.5747
Au1 0.7001 0.4003 0.8176
Au2 0.3042 0.6084 0.1943
Au3 0.9989 0.9978 0.9945
Au4 0.1165 0.2330 0.4273

=====

# BaPAu2 (GGA-PBE, optimized geometry)
# E_tot   -3.524 eV/atom
# V   104.5 Å³ per cell
data_BaPAu2
_chemical_formula_sum 'Ba1 P1 Au2'
_symmetry_space_group_name_H-M 'P 1'
_symmetry_Int_Tables_number 1
_cell_length_a 4.6558
_cell_length_b 5.7480
_cell_length_c 4.6493
_cell_angle_alpha 69.95
_cell_angle_beta 81.25
_cell_angle_gamma 110.09
loop_
_symmetry_equiv_pos_as_xyz
'x,y,z'
loop_
_atom_site_label
_atom_site_fract_x
_atom_site_fract_y
_atom_site_fract_z
Au1 0.0000 0.0000 0.0000
Au2 0.5000 0.0000 0.5000
Ba1 0.0000 0.5000 0.5000
P1 0.5000 0.5000 0.0000

=====

Calculated mass density (g/cm3), listed in the same order as above: 10.8 6.0 8.9
Calculated energy of formation (eV/atom), listed in the same order as above: -0.1402 -0.6722 -0.0521